The following is a DFT calculation (GGA-PBE) of crystalline Ac3Y5O12 at its relaxed geometry.

## Properties
Space-group type ... Ia-3d
Crystal system ... cubic

Lattice parameters (Å, degrees): 12.1563 12.1563 12.1563 109.47 109.47 109.47
Element x y z (fractional)
Ac (0.1250, 0.2500, 0.3750)
Ac (0.1250, 0.3750, 0.7500)
Ac (0.2500, 0.3750, 0.1250)
Ac (0.2500, 0.8750, 0.6250)
Ac (0.3750, 0.1250, 0.2500)
Ac (0.3750, 0.7500, 0.1250)
Ac (0.6250, 0.2500, 0.8750)
Ac (0.6250, 0.8750, 0.7500)
Ac (0.7500, 0.1250, 0.3750)
Ac (0.7500, 0.6250, 0.8750)
Ac (0.8750, 0.6250, 0.2500)
Ac (0.8750, 0.7500, 0.6250)
Y (0.0000, 0.0000, 0.0000)
Y (0.0000, 0.0000, 0.5000)
Y (0.0000, 0.5000, 0.0000)
Y (0.0000, 0.5000, 0.5000)
Y (0.1250, 0.7500, 0.8750)
Y (0.1250, 0.8750, 0.2500)
Y (0.2500, 0.1250, 0.8750)
Y (0.2500, 0.6250, 0.3750)
Y (0.3750, 0.2500, 0.6250)
Y (0.3750, 0.6250, 0.7500)
Y (0.5000, 0.0000, 0.0000)
Y (0.5000, 0.0000, 0.5000)
Y (0.5000, 0.5000, 0.0000)
Y (0.5000, 0.5000, 0.5000)
Y (0.6250, 0.3750, 0.2500)
Y (0.6250, 0.7500, 0.3750)
Y (0.7500, 0.3750, 0.6250)
Y (0.7500, 0.8750, 0.1250)
Y (0.8750, 0.1250, 0.7500)
Y (0.8750, 0.2500, 0.1250)
O (0.0344, 0.2099, 0.1274)
O (0.0344, 0.3245, 0.9070)
O (0.0825, 0.7099, 0.6755)
O (0.0825, 0.8726, 0.4070)
O (0.0930, 0.6274, 0.4175)
O (0.0930, 0.9656, 0.6755)
O (0.1274, 0.0344, 0.2099)
O (0.1274, 0.5930, 0.9175)
O (0.1755, 0.2099, 0.5825)
O (0.1755, 0.4656, 0.5930)
O (0.2099, 0.1274, 0.0344)
O (0.2099, 0.5825, 0.1755)
O (0.2901, 0.3245, 0.9175)
O (0.2901, 0.4656, 0.3726)
O (0.3245, 0.9070, 0.0344)
O (0.3245, 0.9175, 0.2901)
O (0.3726, 0.2901, 0.4656)
O (0.3726, 0.5825, 0.9070)
O (0.4070, 0.0825, 0.8726)
O (0.4070, 0.8245, 0.5344)
O (0.4175, 0.0930, 0.6274)
O (0.4175, 0.8245, 0.7901)
O (0.4656, 0.3726, 0.2901)
O (0.4656, 0.5930, 0.1755)
O (0.5344, 0.4070, 0.8245)
O (0.5344, 0.6274, 0.7099)
O (0.5825, 0.1755, 0.2099)
O (0.5825, 0.9070, 0.3726)
O (0.5930, 0.1755, 0.4656)
O (0.5930, 0.9175, 0.1274)
O (0.6274, 0.4175, 0.0930)
O (0.6274, 0.7099, 0.5344)
O (0.6755, 0.0825, 0.7099)
O (0.6755, 0.0930, 0.9656)
O (0.7099, 0.5344, 0.6274)
O (0.7099, 0.6755, 0.0825)
O (0.7901, 0.4175, 0.8245)
O (0.7901, 0.8726, 0.9656)
O (0.8245, 0.5344, 0.4070)
O (0.8245, 0.7901, 0.4175)
O (0.8726, 0.4070, 0.0825)
O (0.8726, 0.9656, 0.7901)
O (0.9070, 0.0344, 0.3245)
O (0.9070, 0.3726, 0.5825)
O (0.9175, 0.1274, 0.5930)
O (0.9175, 0.2901, 0.3245)
O (0.9656, 0.6755, 0.0930)
O (0.9656, 0.7901, 0.8726)

The following is a DFT calculation (GGA-PBE) of crystalline GdHoZrIn at its relaxed geometry.

## Properties
Formation energy from the elements ... -0.0535 eV per atom
Space-group type ... F-43m
Crystal system ... cubic

Lattice parameters (Å, degrees): 7.5606 7.5606 7.5606 90.00 90.00 90.00
Element x y z (fractional)
Gd (0.0000, 0.0000, 0.0000)
Gd (0.0000, 0.5000, 0.5000)
Gd (0.5000, 0.0000, 0.5000)
Gd (0.5000, 0.5000, 0.0000)
Ho (0.0000, 0.0000, 0.5000)
Ho (0.0000, 0.5000, 0.0000)
Ho (0.5000, 0.0000, 0.0000)
Ho (0.5000, 0.5000, 0.5000)
Zr (0.2500, 0.2500, 0.7500)
Zr (0.2500, 0.7500, 0.2500)
Zr (0.7500, 0.2500, 0.2500)
Zr (0.7500, 0.7500, 0.7500)
In (0.2500, 0.2500, 0.2500)
In (0.2500, 0.7500, 0.7500)
In (0.7500, 0.2500, 0.7500)
In (0.7500, 0.7500, 0.2500)

The following is a DFT calculation (GGA-PBE) of crystalline Pr7Dy3Mg at its relaxed geometry.

## Properties
Formation energy from the elements ... 0.1751 eV per atom
Offset from the most stable computed form ... 0.00 eV per formula unit
Space-group type ... P3m1
Crystal system ... trigonal

Lattice parameters (Å, degrees): 7.1821 7.1821 8.7251 90.00 90.00 120.00
Element x y z (fractional)
Pr (0.0000, 0.0000, 0.0000)
Pr (0.1649, 0.3298, 0.6628)
Pr (0.1649, 0.8351, 0.6628)
Pr (0.5004, 0.0008, 0.0044)
Pr (0.5004, 0.4996, 0.0044)
Pr (0.6702, 0.8351, 0.6628)
Pr (0.9992, 0.4996, 0.0044)
Dy (0.3316, 0.1658, 0.3337)
Dy (0.8342, 0.1658, 0.3337)
Dy (0.8342, 0.6684, 0.3337)
Mg (0.6667, 0.3333, 0.6651)

The following is a DFT calculation (GGA-PBE) of crystalline Zn2AgHRu at its relaxed geometry.

## Properties
Space-group type ... P4/mmm
Crystal system ... tetragonal

Lattice parameters (Å, degrees): 4.2069 4.2069 3.5193 90.00 90.00 90.00
Element x y z (fractional)
Zn (0.0000, 0.5000, 0.0000)
Zn (0.5000, 0.0000, 0.0000)
Ag (0.0000, 0.0000, 0.5000)
H (0.5000, 0.5000, 0.0000)
Ru (0.5000, 0.5000, 0.5000)

The following is a DFT calculation (GGA-PBE) of crystalline KSbRhO6 at its relaxed geometry.

## Properties
Space-group type ... P312
Crystal system ... trigonal

Lattice parameters (Å, degrees): 5.3149 5.3149 6.0639 90.00 90.00 120.00
Element x y z (fractional)
K (0.0000, 0.0000, 0.0000)
Sb (0.3333, 0.6667, 0.5000)
Rh (0.6667, 0.3333, 0.5000)
O (0.3874, 0.0088, 0.6840)
O (0.3874, 0.3787, 0.3160)
O (0.6213, 0.0088, 0.3160)
O (0.6213, 0.6126, 0.6840)
O (0.9912, 0.3787, 0.6840)
O (0.9912, 0.6126, 0.3160)

The following is a DFT calculation (GGA-PBE) of crystalline TlCdC3 at its relaxed geometry.

## Properties
Formation energy from the elements ... 3.1500 eV per atom
Offset from the most stable computed form ... 0.00 eV per formula unit
Space-group type ... Pm-3m
Crystal system ... cubic

Lattice parameters (Å, degrees): 4.4111 4.4111 4.4111 90.00 90.00 90.00
Element x y z (fractional)
Tl (0.0000, 0.0000, 0.0000)
Cd (0.5000, 0.5000, 0.5000)
C (0.0000, 0.5000, 0.5000)
C (0.5000, 0.0000, 0.5000)
C (0.5000, 0.5000, 0.0000)

The following is a DFT calculation (GGA-PBE) of crystalline Sr2SiPt at its relaxed geometry.

## Properties
Space-group type ... P2_1/m
Crystal system ... monoclinic

Lattice parameters (Å, degrees): 5.8444 4.4115 8.9900 90.00 101.58 90.00
Element x y z (fractional)
Sr (0.2146, 0.2500, 0.4268)
Sr (0.2774, 0.7500, 0.0734)
Sr (0.7226, 0.2500, 0.9266)
Sr (0.7854, 0.7500, 0.5732)
Si (0.3189, 0.7500, 0.7286)
Si (0.6811, 0.2500, 0.2714)
Pt (0.1786, 0.2500, 0.7720)
Pt (0.8214, 0.7500, 0.2280)

The following is a DFT calculation (GGA-PBE) of crystalline Ac2Al6PdAu at its relaxed geometry.

## Properties
Formation energy from the elements ... -0.4577 eV per atom
Space-group type ... P-1
Crystal system ... triclinic

Lattice parameters (Å, degrees): 6.6022 6.6039 7.0026 62.12 61.98 60.10
Element x y z (fractional)
Ac (0.1953, 0.1943, 0.4155)
Ac (0.8047, 0.8057, 0.5845)
Al (0.1728, 0.6329, 0.8734)
Al (0.3215, 0.1722, 0.8728)
Al (0.3661, 0.6793, 0.1274)
Al (0.6339, 0.3207, 0.8726)
Al (0.6785, 0.8278, 0.1272)
Al (0.8272, 0.3671, 0.1266)
Pd (0.0000, 0.0000, 0.0000)
Au (0.5000, 0.5000, 0.5000)

The following is a DFT calculation (GGA-PBE) of crystalline LiThPt at its relaxed geometry.

## Properties
Formation energy from the elements ... -0.6022 eV per atom
Offset from the most stable computed form ... 0.67 eV per formula unit
Space-group type ... F-43m
Crystal system ... cubic

Lattice parameters (Å, degrees): 6.6865 6.6865 6.6865 90.00 90.00 90.00
Element x y z (fractional)
Li (0.0000, 0.0000, 0.0000)
Li (0.0000, 0.5000, 0.5000)
Li (0.5000, 0.0000, 0.5000)
Li (0.5000, 0.5000, 0.0000)
Th (0.0000, 0.0000, 0.5000)
Th (0.0000, 0.5000, 0.0000)
Th (0.5000, 0.0000, 0.0000)
Th (0.5000, 0.5000, 0.5000)
Pt (0.2500, 0.2500, 0.2500)
Pt (0.2500, 0.7500, 0.7500)
Pt (0.7500, 0.2500, 0.7500)
Pt (0.7500, 0.7500, 0.2500)

The following is a DFT calculation (GGA-PBE) of crystalline Sm5ThTl6 at its relaxed geometry.

## Properties
Formation energy from the elements ... -0.3282 eV per atom
Offset from the most stable computed form ... 0.00 eV per formula unit
Space-group type ... C2/m
Crystal system ... monoclinic

Lattice parameters (Å, degrees): 9.4827 9.4827 5.4909 106.75 106.75 47.71
Element x y z (fractional)
Sm (0.0000, 0.0000, 0.0000)
Sm (0.1694, 0.1694, 0.6696)
Sm (0.3389, 0.3389, 0.3384)
Sm (0.6611, 0.6611, 0.6616)
Sm (0.8306, 0.8306, 0.3304)
Th (0.5000, 0.5000, 0.0000)
Tl (0.0756, 0.5862, 0.8306)
Tl (0.2397, 0.7603, 0.5000)
Tl (0.4138, 0.9244, 0.1694)
Tl (0.5862, 0.0756, 0.8306)
Tl (0.7603, 0.2397, 0.5000)
Tl (0.9244, 0.4138, 0.1694)

The following is a DFT calculation (GGA-PBE) of crystalline CeY6Ho2Er at its relaxed geometry.

## Properties
Formation energy from the elements ... 0.1563 eV per atom
Space-group type ... C2/c
Crystal system ... monoclinic

Lattice parameters (Å, degrees): 8.7048 8.7048 9.6868 95.00 95.00 116.54
Element x y z (fractional)
Ce (0.0930, 0.9070, 0.7500)
Ce (0.9070, 0.0930, 0.2500)
Y (0.0079, 0.8007, 0.3823)
Y (0.0721, 0.5180, 0.1834)
Y (0.1993, 0.9921, 0.1177)
Y (0.2502, 0.6171, 0.5574)
Y (0.3829, 0.7498, 0.9426)
Y (0.4820, 0.9279, 0.3166)
Y (0.5180, 0.0721, 0.6834)
Y (0.6171, 0.2502, 0.0574)
Y (0.7498, 0.3829, 0.4426)
Y (0.8007, 0.0079, 0.8823)
Y (0.9279, 0.4820, 0.8166)
Y (0.9921, 0.1993, 0.6177)
Ho (0.2139, 0.3092, 0.9518)
Ho (0.3092, 0.2139, 0.4518)
Ho (0.6908, 0.7861, 0.5482)
Ho (0.7861, 0.6908, 0.0482)
Er (0.4756, 0.5244, 0.2500)
Er (0.5244, 0.4756, 0.7500)

The following is a DFT calculation (GGA-PBE) of crystalline BeOsBr2 at its relaxed geometry.

## Properties
Offset from the most stable computed form ... 5.15 eV per formula unit
Space-group type ... I-4m2
Crystal system ... tetragonal

Lattice parameters (Å, degrees): 4.0224 4.0224 8.4901 90.00 90.00 90.00
Element x y z (fractional)
Be (0.0000, 0.0000, 0.0000)
Be (0.5000, 0.5000, 0.5000)
Os (0.0000, 0.5000, 0.2500)
Os (0.5000, 0.0000, 0.7500)
Br (0.0000, 0.0000, 0.5000)
Br (0.0000, 0.5000, 0.7500)
Br (0.5000, 0.0000, 0.2500)
Br (0.5000, 0.5000, 0.0000)

The following is a DFT calculation (GGA-PBE) of crystalline ZrSc2Cd at its relaxed geometry.

## Properties
Formation energy from the elements ... -0.0332 eV per atom
Offset from the most stable computed form ... 0.56 eV per formula unit
Space-group type ... Pmm2
Crystal system ... orthorhombic

Lattice parameters (Å, degrees): 3.2070 5.2000 5.4989 90.00 90.00 90.00
Element x y z (fractional)
Zr (0.0000, 0.0000, 0.0000)
Sc (0.5000, 0.0000, 0.4989)
Sc (0.5000, 0.5000, 0.1357)
Cd (0.0000, 0.5000, 0.6481)

The following is a DFT calculation (GGA-PBE) of crystalline Cs4RbNa2 at its relaxed geometry.

## Properties
Formation energy from the elements ... 0.0674 eV per atom
Offset from the most stable computed form ... 0.17 eV per formula unit
Space-group type ... R-3m
Crystal system ... trigonal

Lattice parameters (Å, degrees): 14.3908 14.3908 14.3908 30.24 30.24 30.24
Element x y z (fractional)
Cs (0.1112, 0.1112, 0.1112)
Cs (0.2926, 0.2926, 0.2926)
Cs (0.7074, 0.7074, 0.7074)
Cs (0.8888, 0.8888, 0.8888)
Rb (0.5000, 0.5000, 0.5000)
Na (0.4003, 0.4003, 0.4003)
Na (0.5997, 0.5997, 0.5997)

The following is a DFT calculation (GGA-PBE) of crystalline CaMgReSe2 at its relaxed geometry.

## Properties
Space-group type ... P4/mmm
Crystal system ... tetragonal

Lattice parameters (Å, degrees): 5.1468 5.1468 5.0266 90.00 90.00 90.00
Element x y z (fractional)
Ca (0.0000, 0.0000, 0.0000)
Mg (0.5000, 0.5000, 0.5000)
Re (0.5000, 0.5000, 0.0000)
Se (0.0000, 0.5000, 0.5000)
Se (0.5000, 0.0000, 0.5000)

The following is a DFT calculation (GGA-PBE) of crystalline Re5P at its relaxed geometry.

## Properties
Formation energy from the elements ... 0.1199 eV per atom
Offset from the most stable computed form ... 0.65 eV per formula unit
Space-group type ... Amm2
Crystal system ... orthorhombic

Lattice parameters (Å, degrees): 4.3825 2.8484 14.1477 90.00 90.00 90.00
Element x y z (fractional)
Re (0.0000, 0.0000, 0.0000)
Re (0.0000, 0.0000, 0.3279)
Re (0.0000, 0.0000, 0.6629)
Re (0.0000, 0.5000, 0.1629)
Re (0.0000, 0.5000, 0.5000)
Re (0.0000, 0.5000, 0.8279)
Re (0.5000, 0.0000, 0.4388)
Re (0.5000, 0.0000, 0.7712)
Re (0.5000, 0.5000, 0.2712)
Re (0.5000, 0.5000, 0.9388)
P (0.5000, 0.0000, 0.1266)
P (0.5000, 0.5000, 0.6266)

The following is a DFT calculation (GGA-PBE) of crystalline HfZr3N at its relaxed geometry.

## Properties
Offset from the most stable computed form ... 0.16 eV per formula unit
Space-group type ... Cm
Crystal system ... monoclinic

Lattice parameters (Å, degrees): 6.1860 6.1860 5.6488 90.17 90.17 64.25
Element x y z (fractional)
Hf (0.0000, 0.0000, 0.0000)
Hf (0.7491, 0.7491, 0.6612)
Zr (0.0012, 0.5008, 0.1803)
Zr (0.2515, 0.2515, 0.6643)
Zr (0.2584, 0.7422, 0.5008)
Zr (0.5008, 0.0012, 0.1803)
Zr (0.5020, 0.5020, 0.0168)
Zr (0.7422, 0.2584, 0.5008)
N (0.3690, 0.3690, 0.3344)
N (0.6342, 0.6342, 0.3395)

The following is a DFT calculation (GGA-PBE) of crystalline Sn6PtRh3 at its relaxed geometry.

## Properties
Formation energy from the elements ... -0.3787 eV per atom
Space-group type ... P2_1/c
Crystal system ... monoclinic

Lattice parameters (Å, degrees): 7.0938 6.5533 10.7170 90.00 122.06 90.00
Element x y z (fractional)
Sn (0.0771, 0.0018, 0.2733)
Sn (0.0771, 0.4982, 0.7733)
Sn (0.2623, 0.1646, 0.6015)
Sn (0.2623, 0.3354, 0.1015)
Sn (0.3988, 0.6461, 0.5678)
Sn (0.3988, 0.8539, 0.0678)
Sn (0.6012, 0.1461, 0.9322)
Sn (0.6012, 0.3539, 0.4322)
Sn (0.7377, 0.6646, 0.8985)
Sn (0.7377, 0.8354, 0.3985)
Sn (0.9229, 0.5018, 0.2267)
Sn (0.9229, 0.9982, 0.7267)
Pt (0.0000, 0.0000, 0.0000)
Pt (0.0000, 0.5000, 0.5000)
Rh (0.2969, 0.6632, 0.2713)
Rh (0.2969, 0.8368, 0.7713)
Rh (0.5000, 0.0000, 0.5000)
Rh (0.5000, 0.5000, 0.0000)
Rh (0.7031, 0.1632, 0.2287)
Rh (0.7031, 0.3368, 0.7287)

The following is a DFT calculation (GGA-PBE) of crystalline Tb4TmIn3 at its relaxed geometry.

## Properties
Formation energy from the elements ... -0.3236 eV per atom
Offset from the most stable computed form ... 0.00 eV per formula unit
Space-group type ... R-3m
Crystal system ... trigonal

Lattice parameters (Å, degrees): 9.5174 9.5174 9.5174 32.76 32.76 32.76
Element x y z (fractional)
Tb (0.1164, 0.1164, 0.1164)
Tb (0.3703, 0.3703, 0.3703)
Tb (0.6297, 0.6297, 0.6297)
Tb (0.8836, 0.8836, 0.8836)
Tm (0.5000, 0.5000, 0.5000)
In (0.0000, 0.0000, 0.0000)
In (0.2388, 0.2388, 0.2388)
In (0.7612, 0.7612, 0.7612)

The following is a DFT calculation (GGA-PBE) of crystalline CoCuB2 at its relaxed geometry.

## Properties
Formation energy from the elements ... 0.3642 eV per atom
Offset from the most stable computed form ... 0.00 eV per formula unit
Space-group type ... I4_1/amd
Crystal system ... tetragonal

Lattice parameters (Å, degrees): 3.4289 3.4289 13.9334 90.00 90.00 90.00
Element x y z (fractional)
Co (0.0000, 0.2500, 0.3750)
Co (0.0000, 0.7500, 0.6250)
Co (0.5000, 0.2500, 0.1250)
Co (0.5000, 0.7500, 0.8750)
Cu (0.0000, 0.2500, 0.8750)
Cu (0.0000, 0.7500, 0.1250)
Cu (0.5000, 0.2500, 0.6250)
Cu (0.5000, 0.7500, 0.3750)
B (0.0000, 0.0000, 0.5000)
B (0.0000, 0.5000, 0.5000)
B (0.2500, 0.2500, 0.2500)
B (0.2500, 0.7500, 0.7500)
B (0.5000, 0.0000, 0.0000)
B (0.5000, 0.5000, 0.0000)
B (0.7500, 0.2500, 0.2500)
B (0.7500, 0.7500, 0.7500)

| no. | total DFT energy (no corrections) (eV/atom) | spin magnetization (μB/f.u.) |
| --- | --- | --- |
| 1 | -8.5917 | 0.000 |
| 2 | -7.5399 | 4.619 |
| 3 | -4.2664 | 0.000 |
| 4 | -3.5649 | 0.000 |
| 5 | -5.7239 | 2.836 |
| 6 | -3.0406 | 0.925 |
| 7 | -4.4292 | 0.000 |
| 8 | -4.3720 | 0.000 |
| 9 | -5.7270 | 0.000 |
| 10 | -4.0960 | 0.000 |
| 11 | -5.6874 | 1.333 |
| 12 | -3.1067 | 0.000 |
| 13 | -5.5648 | 0.001 |
| 14 | -0.9354 | 0.000 |
| 15 | -4.0588 | 4.360 |
| 16 | -11.1552 | 0.000 |
| 17 | -9.4788 | 0.000 |
| 18 | -5.5899 | 0.000 |
| 19 | -4.2246 | 0.931 |
| 20 | -5.7751 | 0.000 |